Computed, not measured: an optimized crystal structure of Y2ZrIn2 at the GGA-PBE level of DFT.

Properties
The calculated formation energy is -0.28 eV/atom. Its electronic total energy is -5.67 eV/atom.

CIF file:
```
data_Y2ZrIn2
_symmetry_space_group_name_H-M 'P 4/m b m'
_symmetry_Int_Tables_number 127
_symmetry_space_group_name_Hall '-P 4 2ab'
_cell_length_a 7.829
_cell_length_b 7.829
_cell_length_c 4.441
_cell_angle_alpha 90.00
_cell_angle_beta 90.00
_cell_angle_gamma 90.00
loop_
_atom_site_label
_atom_site_fract_x
_atom_site_fract_y
_atom_site_fract_z
Y1 0.174 0.326 0.000
Zr1 0.000 0.000 0.500
In1 0.131 0.631 0.500
```